# 1
Compound: BeCr2Si
Source: Alexandria via LeMat-Bulk
Functional: GGA-PBE
Structure: relaxed

abc: 5.6751 5.6751 5.6751
angles: 90.00 90.00 90.00
With the nearest neighbours (Å) after each atom.
Positions (direct):
Be1 0.0000 0.0000 0.0000  8 Cr 2.46
Be2 0.0000 0.5000 0.5000  8 Cr 2.46
Be3 0.5000 0.0000 0.5000  8 Cr 2.46
Be4 0.5000 0.5000 0.0000  8 Cr 2.46
Cr1 0.2500 0.2500 0.2500  4 Be 2.46, 4 Si 2.46
Cr2 0.2500 0.2500 0.7500  4 Be 2.46, 4 Si 2.46
Cr3 0.2500 0.7500 0.2500  4 Be 2.46, 4 Si 2.46
Cr4 0.2500 0.7500 0.7500  4 Be 2.46, 4 Si 2.46
Cr5 0.7500 0.2500 0.2500  4 Be 2.46, 4 Si 2.46
Cr6 0.7500 0.2500 0.7500  4 Be 2.46, 4 Si 2.46
Cr7 0.7500 0.7500 0.2500  4 Be 2.46, 4 Si 2.46
Cr8 0.7500 0.7500 0.7500  4 Be 2.46, 4 Si 2.46
Si1 0.0000 0.0000 0.5000  8 Cr 2.46
Si2 0.0000 0.5000 0.0000  8 Cr 2.46
Si3 0.5000 0.0000 0.0000  8 Cr 2.46
Si4 0.5000 0.5000 0.5000  8 Cr 2.46

The calculation puts the mass density at 5.1 g cm⁻³. The calculation puts the relative energy among the computed polymorphs at 134 meV per atom. As for the formation energy without anion corrections: -11 kJ/mol of formula units. The calculation puts the magnetic moment at 4.52 μB per formula unit.

# 2
Compound: Be4CrSi
Source: Alexandria via LeMat-Bulk
Functional: GGA-PBE
Structure: relaxed

abc: 4.2414 4.2414 4.2414
angles: 60.00 60.00 60.00
With the nearest neighbours (Å) after each atom.
Positions (direct):
Be1 0.1237 0.1237 0.1237  6 Be 2.10-2.14
Be2 0.1237 0.1237 0.6289  6 Be 2.10-2.14
Be3 0.1237 0.6289 0.1237  6 Be 2.10-2.14
Be4 0.6289 0.1237 0.1237  6 Be 2.10-2.14
Cr1 0.7500 0.7500 0.7500  12 Be 2.48, 4 Si 2.60
Si1 0.5000 0.5000 0.5000  12 Be 2.49, 4 Cr 2.60

The calculation puts the mass density at 3.6 g cm⁻³. The calculation puts the relative energy among the computed polymorphs at 0 meV per atom. As for the formation energy without anion corrections: -13 kJ/mol of formula units. The calculation puts the magnetic moment at 1.86 μB per formula unit.

# 3
Compound: BeCr2Si
Source: Alexandria via LeMat-Bulk
Functional: GGA-PBE
Structure: relaxed

abc: 3.0188 3.7663 3.8244
angles: 90.00 90.00 90.00
With the nearest neighbours (Å) after each atom.
Positions (direct):
Be1 0.0000 0.0000 0.0000  8 Cr 2.41-2.68, 4 Si 2.44
Cr1 0.0000 0.5000 0.5000  4 Si 2.41, 4 Cr 2.44, 4 Be 2.68
Cr2 0.5000 0.5000 0.0000  4 Be 2.41, 4 Cr 2.44, 4 Si 2.68
Si1 0.5000 0.0000 0.5000  8 Cr 2.41-2.68, 4 Be 2.44

The calculation puts the mass density at 5.4 g cm⁻³. The calculation puts the relative energy among the computed polymorphs at 76 meV per atom. As for the formation energy without anion corrections: -34 kJ/mol of formula units. The calculation puts the magnetic moment at 0.24 μB per formula unit.

# 4
Compound: BeCr2Si
Source: Alexandria via LeMat-Bulk
Functional: GGA-PBE
Structure: relaxed

abc: 2.5604 2.5604 23.7605
angles: 90.00 90.00 120.00
With the nearest neighbours (Å) after each atom.
Positions (direct):
Be1 0.0000 0.0000 0.0000  6 Cr 2.44, 6 Be 2.56
Be2 0.3333 0.6667 0.6667  6 Cr 2.44, 6 Be 2.56
Be3 0.6667 0.3333 0.3333  6 Cr 2.44, 6 Be 2.56
Cr1 0.0000 0.0000 0.2519  3 Be 2.44, 3 Si 2.51, 6 Cr 2.56
Cr2 0.0000 0.0000 0.7481  3 Be 2.44, 3 Si 2.51, 6 Cr 2.56
Cr3 0.3333 0.6667 0.4148  3 Be 2.44, 3 Si 2.51, 6 Cr 2.56
Cr4 0.3333 0.6667 0.9185  3 Be 2.44, 3 Si 2.51, 6 Cr 2.56
Cr5 0.6667 0.3333 0.0815  3 Be 2.44, 3 Si 2.51, 6 Cr 2.56
Cr6 0.6667 0.3333 0.5852  3 Be 2.44, 3 Si 2.51, 6 Cr 2.56
Si1 0.0000 0.0000 0.5000  6 Cr 2.51, 6 Si 2.56
Si2 0.3333 0.6667 0.1667  6 Cr 2.51, 6 Si 2.56
Si3 0.6667 0.3333 0.8333  6 Cr 2.51, 6 Si 2.56

The calculation puts the mass density at 5.2 g cm⁻³. The calculation puts the relative energy among the computed polymorphs at 303 meV per atom. As for the formation energy without anion corrections: 54 kJ/mol of formula units. The calculation puts the magnetic moment at 0.00 μB per formula unit.

# 5
Compound: BeCr2Si
Source: Alexandria via LeMat-Bulk
Functional: GGA-PBE
Structure: relaxed

abc: 2.4574 3.7682 4.8517
angles: 90.00 103.90 90.00
With the nearest neighbours (Å) after each atom.
Positions (direct):
Be1 0.0000 0.0000 0.0000  4 Cr 2.38, 2 Si 2.44, 2 Be 2.46
Cr1 0.2598 0.5000 0.7591  4 Cr 2.35-2.53, 2 Be 2.38, 2 Si 2.42
Cr2 0.7402 0.5000 0.2409  4 Cr 2.35-2.53, 2 Be 2.38, 2 Si 2.42
Si1 0.5000 0.0000 0.5000  4 Cr 2.42, 2 Be 2.44, 2 Si 2.46

The calculation puts the mass density at 5.4 g cm⁻³. The calculation puts the relative energy among the computed polymorphs at 108 meV per atom. As for the formation energy without anion corrections: -22 kJ/mol of formula units. The calculation puts the magnetic moment at 0.00 μB per formula unit.

# 6
Compound: TiBe2CrSi
Source: Alexandria via LeMat-Bulk
Functional: GGA-PBE
Structure: relaxed

abc: 4.1759 4.1759 4.2164
angles: 90.00 90.00 90.00
With the nearest neighbours (Å) after each atom.
Positions (direct):
Ti1 0.0000 0.0000 0.0000  2 Cr 2.11
Be1 0.0000 0.5000 0.5000  2 Cr 2.09
Be2 0.5000 0.0000 0.5000  2 Cr 2.09
Cr1 0.0000 0.0000 0.5000  4 Be 2.09, 2 Ti 2.11
Si1 0.5000 0.5000 0.0000  4 Ti 2.95, 8 Be 2.97

The calculation puts the mass density at 3.3 g cm⁻³. As for the formation energy without anion corrections: 446 kJ/mol of formula units. The calculation puts the magnetic moment at 0.00 μB per formula unit.

# 7
Compound: BeVCrSi
Source: Alexandria via LeMat-Bulk
Functional: GGA-PBE
Structure: relaxed

abc: 5.6349 5.6349 5.6349
angles: 90.00 90.00 90.00
With the nearest neighbours (Å) after each atom.
Positions (direct):
Be1 0.0000 0.0000 0.0000  4 Si 2.44, 4 V 2.44
Be2 0.0000 0.5000 0.5000  4 Si 2.44, 4 V 2.44
Be3 0.5000 0.0000 0.5000  4 Si 2.44, 4 V 2.44
Be4 0.5000 0.5000 0.0000  4 Si 2.44, 4 V 2.44
V1 0.2500 0.2500 0.7500  4 Cr 2.44, 4 Be 2.44
V2 0.2500 0.7500 0.2500  4 Cr 2.44, 4 Be 2.44
V3 0.7500 0.2500 0.2500  4 Cr 2.44, 4 Be 2.44
V4 0.7500 0.7500 0.7500  4 Cr 2.44, 4 Be 2.44
Cr1 0.0000 0.0000 0.5000  4 Si 2.44, 4 V 2.44
Cr2 0.0000 0.5000 0.0000  4 Si 2.44, 4 V 2.44
Cr3 0.5000 0.0000 0.0000  4 Si 2.44, 4 V 2.44
Cr4 0.5000 0.5000 0.5000  4 Si 2.44, 4 V 2.44
Si1 0.2500 0.2500 0.2500  4 Cr 2.44, 4 Be 2.44
Si2 0.2500 0.7500 0.7500  4 Cr 2.44, 4 Be 2.44
Si3 0.7500 0.2500 0.7500  4 Cr 2.44, 4 Be 2.44
Si4 0.7500 0.7500 0.2500  4 Cr 2.44, 4 Be 2.44

The calculation puts the mass density at 5.2 g cm⁻³. As for the formation energy without anion corrections: -58 kJ/mol of formula units. The calculation puts the magnetic moment at 0.00 μB per formula unit.

# 8
Compound: ZrBeCr2Si
Source: Alexandria via LeMat-Bulk
Functional: GGA-PBE
Structure: relaxed

abc: 4.0141 4.0141 4.5235
angles: 90.00 90.00 90.00
With the nearest neighbours (Å) after each atom.
Positions (direct):
Zr1 0.0000 0.0000 0.0000  2 Be 2.26
Be1 0.0000 0.0000 0.5000  4 Cr 2.01
Cr1 0.0000 0.5000 0.5000  2 Be 2.01
Cr2 0.5000 0.0000 0.5000  2 Be 2.01
Si1 0.5000 0.5000 0.0000  4 Zr 2.84, 8 Cr 3.02

The calculation puts the mass density at 5.3 g cm⁻³. As for the formation energy without anion corrections: 260 kJ/mol of formula units. The calculation puts the magnetic moment at 0.00 μB per formula unit.